Entry 1:
First-principles (PBE) data for an optimized crystal structure of NbNiPdPt, as listed in Alexandria via LeMat-Bulk.

Lattice parameters (Å, degrees): 4.4134 4.4134 4.4134 60.00 60.00 60.00
Sites, in units of the cell vectors:
Nb1 0.0000 0.0000 0.0000
Ni1 0.5000 0.5000 0.5000
Pd1 0.7500 0.7500 0.7500
Pt1 0.2500 0.2500 0.2500

Properties
As for the total magnetization: 0.00 μB/f.u. Its density of states at the Fermi level is 3.589 states/eV/f.u. For the formation enthalpy at 0 K, the calculation gives -0.273 eV per atom.

***

Entry 2:
First-principles (PBE) data for an optimized crystal structure of NbNiPd2Pt2, as listed in Alexandria via LeMat-Bulk.

Lattice parameters (Å, degrees): 5.2395 5.4013 6.6711 90.00 98.58 90.00
Sites, in units of the cell vectors:
Nb1 0.1874 0.2500 0.1654
Nb2 0.8126 0.7500 0.8346
Ni1 0.1781 0.7500 0.1360
Ni2 0.8219 0.2500 0.8640
Pd1 0.3057 0.0006 0.8324
Pd2 0.3057 0.4994 0.8324
Pd3 0.6943 0.5006 0.1676
Pd4 0.6943 0.9994 0.1676
Pt1 0.0104 0.7500 0.4889
Pt2 0.4939 0.2500 0.5133
Pt3 0.5061 0.7500 0.4867
Pt4 0.9896 0.2500 0.5111

Properties
As for the total magnetization: 0.00 μB/f.u. Its density of states at the Fermi level is 5.123 states/eV/f.u. For the formation enthalpy at 0 K, the calculation gives -0.189 eV per atom.

***

Entry 3:
First-principles (PBE) data for an optimized crystal structure of NbNi2Pd2Pt, as listed in Alexandria via LeMat-Bulk.

Lattice parameters (Å, degrees): 4.9646 5.4227 6.6114 90.00 97.74 90.00
Sites, in units of the cell vectors:
Nb1 0.2000 0.2500 0.1803
Nb2 0.8000 0.7500 0.8197
Ni1 0.0006 0.2500 0.5016
Ni2 0.4991 0.2500 0.5056
Ni3 0.5009 0.7500 0.4944
Ni4 0.9994 0.7500 0.4984
Pd1 0.3082 0.0016 0.8014
Pd2 0.3082 0.4984 0.8014
Pd3 0.6918 0.5016 0.1986
Pd4 0.6918 0.9984 0.1986
Pt1 0.1837 0.7500 0.1434
Pt2 0.8163 0.2500 0.8566

Properties
As for the total magnetization: 0.26 μB/f.u. Its density of states at the Fermi level is 7.289 states/eV/f.u. For the formation enthalpy at 0 K, the calculation gives -0.170 eV per atom.

***

Entry 4:
First-principles (PBE) data for an optimized crystal structure of NbNiPdS4, as listed in Alexandria via LeMat-Bulk.

Lattice parameters (Å, degrees): 7.1082 7.1082 7.1082 121.65 118.16 90.19
Sites, in units of the cell vectors:
Nb1 0.5000 0.0000 0.0000
Nb2 0.5000 0.5000 0.5000
Ni1 0.0000 0.0000 0.0000
Ni2 0.5000 0.0000 0.5000
Pd1 0.1239 0.3739 0.7500
Pd2 0.8761 0.6261 0.2500
S1 0.2425 0.2339 0.0086
S2 0.2550 0.2259 0.4709
S3 0.2550 0.7841 0.0291
S4 0.2746 0.7661 0.5086
S5 0.7254 0.2339 0.4914
S6 0.7450 0.2159 0.9709
S7 0.7450 0.7741 0.5291
S8 0.7575 0.7661 0.9914

Properties
As for the total magnetization: 0.00 μB/f.u. Its density of states at the Fermi level is 3.806 states/eV/f.u. Its energy relative to the elements, uncorrected is -505 meV per atom.